[1]
# BaV2GaCu

An optimized crystal structure of BaV2GaCu (GGA-PBE, Alexandria via LeMat-Bulk).

extended XYZ file:
```
5
Lattice="5.264 0.000 0.000 0.000 5.180 0.000 0.000 0.000 5.264" Properties=species:S:1:pos:R:3 pbc="T T T"
Cu 0.000 2.590 0.000
Ba 0.000 0.000 0.000
Ga 2.632 2.590 2.632
V 0.000 0.000 2.632
V 2.632 0.000 0.000
```

## Properties
total moment	6.304	μB per cell
energy	-16.5	eV/cell
symmetry	P4/mmm (123)

---

[2]
# BaVGaCu2

An optimized crystal structure of BaVGaCu2 (GGA-PBE, Alexandria via LeMat-Bulk).

extended XYZ file:
```
5
Lattice="-3.468 3.534 1.939 -4.290 -2.771 -2.621 -0.678 -3.032 4.315" Properties=species:S:1:pos:R:3 pbc="T T T"
Cu -0.339 -1.516 2.158
Cu -1.734 1.767 0.969
Ba 0.000 0.000 0.000
Ga -2.145 -1.386 -1.311
V -4.218 -1.135 1.817
```

## Properties
total moment	0.049	μB per cell
energy	-12.5	eV/cell
symmetry	P4/mmm (123)

---

[3]
# BaY2GaCu

An optimized crystal structure of BaY2GaCu (GGA-PBE, Alexandria via LeMat-Bulk).

extended XYZ file:
```
5
Lattice="-4.238 3.110 1.297 -0.907 -3.194 4.694 3.259 3.256 2.844" Properties=species:S:1:pos:R:3 pbc="T T T"
Y 1.630 1.628 1.422
Y -2.119 1.555 0.648
Cu 0.000 0.000 0.000
Ba -0.453 -1.597 2.347
Ga -0.943 1.586 4.418
```

## Properties
total moment	1.108	μB per cell
energy	-20.8	eV/cell
symmetry	P4/mmm (123)

---

[4]
# Ba2Zn6GaCu

An optimized crystal structure of Ba2Zn6GaCu (GGA-PBE, Alexandria via LeMat-Bulk).

extended XYZ file:
```
10
Lattice="-0.684 -5.992 -3.680 0.426 -3.490 5.604 -4.866 -4.090 1.731" Properties=species:S:1:pos:R:3 pbc="T T T"
Ba -2.480 -7.980 -0.874
Ba -2.645 -5.592 4.529
Zn -2.517 -5.064 0.945
Zn -0.639 -6.849 2.017
Zn -4.231 -8.803 4.980
Zn -0.893 -4.769 -1.324
Zn -4.486 -6.723 1.639
Zn -2.607 -8.508 2.710
Ga 0.000 0.000 0.000
Cu -0.129 -4.741 0.962
```

## Properties
total moment	0.000	μB per cell
energy	-20.6	eV/cell
symmetry	C2/m (12)

---

[5]
# BaZnGa2Cu

An optimized crystal structure of BaZnGa2Cu (GGA-PBE, Alexandria via LeMat-Bulk).

extended XYZ file:
```
5
Lattice="4.898 0.000 0.000 0.000 4.898 0.000 0.000 0.000 4.868" Properties=species:S:1:pos:R:3 pbc="T T T"
Zn 0.000 0.000 2.434
Cu 0.000 0.000 0.000
Ba 2.449 2.449 2.434
Ga 0.000 2.449 0.000
Ga 2.449 0.000 0.000
```

## Properties
total moment	0.000	μB per cell
energy above the lowest structure with this stoichiometry	0.148	eV/atom
energy	-14.0	eV/cell
symmetry	P4/mmm (123)

---

[6]
# Ba2ZnGaCu

An optimized crystal structure of Ba2ZnGaCu (GGA-PBE, Alexandria via LeMat-Bulk).

extended XYZ file:
```
5
Lattice="-3.843 -2.003 -4.390 -4.274 -1.192 4.285 -1.669 4.256 -0.481" Properties=species:S:1:pos:R:3 pbc="T T T"
Zn -4.893 0.531 -0.293
Cu 0.000 0.000 0.000
Ba -2.137 -0.596 2.143
Ba -1.921 -1.001 -2.195
Ga -0.835 2.128 -0.240
```

## Properties
total moment	0.000	μB per cell
energy	-12.6	eV/cell
symmetry	P4/mmm (123)

---

[7]
# BaZnGa2Cu

An optimized crystal structure of BaZnGa2Cu (GGA-PBE, Alexandria via LeMat-Bulk).

extended XYZ file:
```
5
Lattice="-2.932 0.234 3.506 0.803 -4.401 0.965 4.986 3.497 0.949" Properties=species:S:1:pos:R:3 pbc="T T T"
Ba 0.000 0.000 0.000
Zn 0.495 0.824 3.345
Ga -0.029 -1.710 3.077
Ga 2.886 1.041 2.344
Cu 2.362 -1.493 2.075
```

## Properties
total moment	0.000	μB per cell
energy above the lowest structure with this stoichiometry	0.000	eV/atom
energy	-14.7	eV/cell
symmetry	I-4m2 (119)

---

[8]
# Ba2Zn3Ga4Cu

An optimized crystal structure of Ba2Zn3Ga4Cu (GGA-PBE, Alexandria via LeMat-Bulk).

extended XYZ file:
```
10
Lattice="4.590 0.000 0.000 0.000 4.590 0.000 0.000 0.000 10.622" Properties=species:S:1:pos:R:3 pbc="T T T"
Ba 2.295 0.000 2.707
Ba 0.000 2.295 7.915
Zn 0.000 0.000 5.311
Zn 2.295 0.000 9.224
Zn 0.000 2.295 1.398
Ga 2.295 2.295 0.000
Ga 0.000 0.000 0.000
Ga 2.295 0.000 6.515
Ga 0.000 2.295 4.107
Cu 2.295 2.295 5.311
```

## Properties
total moment	0.000	μB per cell
energy	-26.8	eV/cell
symmetry	P-4m2 (115)

---

[9]
# BaZrGaCu2

An optimized crystal structure of BaZrGaCu2 (GGA-PBE, Alexandria via LeMat-Bulk).

extended XYZ file:
```
5
Lattice="4.775 0.000 0.000 0.000 5.251 0.000 0.000 0.000 4.775" Properties=species:S:1:pos:R:3 pbc="T T T"
Ga 0.000 0.000 0.000
Cu 0.000 0.000 2.387
Cu 2.387 0.000 0.000
Ba 2.387 2.625 2.387
Zr 0.000 2.625 0.000
```

## Properties
total moment	1.444	μB per cell
energy	-19.9	eV/cell
symmetry	P4/mmm (123)

---

[10]
# BaGdCu2

An optimized crystal structure of BaGdCu2 (GGA-PBE, Alexandria via LeMat-Bulk).

extended XYZ file:
```
4
Lattice="3.727 0.000 0.000 0.000 3.727 0.000 0.000 0.000 7.478" Properties=species:S:1:pos:R:3 pbc="T T T"
Gd 1.864 1.864 0.000
Ba 1.864 1.864 3.739
Cu 0.000 0.000 6.113
Cu 0.000 0.000 1.365
```

## Properties
total moment	7.179	μB per cell
energy	-24.5	eV/cell
symmetry	P4/mmm (123)

---

[11]
# BaGd3Cu

An optimized crystal structure of BaGd3Cu (GGA-PBE, Alexandria via LeMat-Bulk).

extended XYZ file:
```
5
Lattice="5.615 0.000 0.000 0.000 5.615 0.000 0.000 0.000 5.615" Properties=species:S:1:pos:R:3 pbc="T T T"
Gd 0.000 2.807 0.000
Gd 0.000 0.000 2.807
Gd 2.807 0.000 0.000
Ba 2.807 2.807 2.807
Cu 0.000 0.000 0.000
```

## Properties
total moment	22.517	μB per cell
energy	-47.7	eV/cell
symmetry	Pm-3m (221)

---

[12]
# Ba2GdCu

An optimized crystal structure of Ba2GdCu (GGA-PBE, Alexandria via LeMat-Bulk).

extended XYZ file:
```
4
Lattice="-0.949 2.607 2.924 -2.805 -0.966 2.729 7.056 -4.142 8.761" Properties=species:S:1:pos:R:3 pbc="T T T"
Gd 0.000 0.000 0.000
Ba 4.420 -2.654 6.579
Ba -1.117 0.153 7.836
Cu 1.651 -1.250 7.207
```

## Properties
total moment	8.018	μB per cell
energy	-20.5	eV/cell
symmetry	R-3m (166)